No. 1
{"formula": "CeLuCdGe", "functional": "GGA-PBE", "state": "optimized geometry", "formation_energy_ev_per_atom": -0.395, "dos_at_fermi_per_ev_atom": 1.851, "energy_ev_per_cell": -70.27, "lattice_angstrom": [[7.295, 0.000, 0.000], [0.000, 7.295, 0.000], [0.000, 0.000, 7.295]], "species": ["Ce", "Ce", "Ce", "Ce", "Lu", "Lu", "Lu", "Lu", "Cd", "Cd", "Cd", "Cd", "Ge", "Ge", "Ge", "Ge"], "fractional_positions": [[0.000, 0.000, 0.000], [0.000, 0.500, 0.500], [0.500, 0.000, 0.500], [0.500, 0.500, 0.000], [0.000, 0.000, 0.500], [0.000, 0.500, 0.000], [0.500, 0.000, 0.000], [0.500, 0.500, 0.500], [0.250, 0.250, 0.250], [0.250, 0.750, 0.750], [0.750, 0.250, 0.750], [0.750, 0.750, 0.250], [0.250, 0.250, 0.750], [0.250, 0.750, 0.250], [0.750, 0.250, 0.250], [0.750, 0.750, 0.750]]}

No. 2
{"formula": "NaCeCdGe", "functional": "GGA-PBE", "state": "optimized geometry", "formation_energy_ev_per_atom": -0.246, "dos_at_fermi_per_ev_atom": 1.718, "energy_ev_per_cell": -55.08, "lattice_angstrom": [[7.314, 0.000, 0.000], [0.000, 7.314, 0.000], [0.000, 0.000, 7.314]], "species": ["Na", "Na", "Na", "Na", "Ce", "Ce", "Ce", "Ce", "Cd", "Cd", "Cd", "Cd", "Ge", "Ge", "Ge", "Ge"], "fractional_positions": [[0.000, 0.000, 0.000], [0.000, 0.500, 0.500], [0.500, 0.000, 0.500], [0.500, 0.500, 0.000], [0.000, 0.000, 0.500], [0.000, 0.500, 0.000], [0.500, 0.000, 0.000], [0.500, 0.500, 0.500], [0.250, 0.250, 0.750], [0.250, 0.750, 0.250], [0.750, 0.250, 0.250], [0.750, 0.750, 0.750], [0.250, 0.250, 0.250], [0.250, 0.750, 0.750], [0.750, 0.250, 0.750], [0.750, 0.750, 0.250]]}

No. 3
{"formula": "Ce2CdNi4Ge3", "functional": "GGA-PBE", "state": "optimized geometry", "formation_energy_ev_per_atom": -0.544, "dos_at_fermi_per_ev_atom": 1.128, "energy_ev_per_cell": -55.20, "lattice_angstrom": [[4.147, 0.000, 0.000], [0.000, 4.147, 0.000], [0.000, 0.000, 10.040]], "species": ["Ce", "Ce", "Cd", "Ni", "Ni", "Ni", "Ni", "Ge", "Ge", "Ge"], "fractional_positions": [[0.000, 0.500, 0.237], [0.500, 0.000, 0.763], [0.000, 0.000, 0.500], [0.000, 0.000, 0.000], [0.000, 0.500, 0.647], [0.500, 0.000, 0.353], [0.500, 0.500, 0.000], [0.000, 0.500, 0.879], [0.500, 0.000, 0.121], [0.500, 0.500, 0.500]]}

No. 4
{"formula": "CeCdGeO", "functional": "GGA-PBE", "state": "optimized geometry", "dos_at_fermi_per_ev_atom": 0.823, "energy_ev_per_cell": -45.18, "lattice_angstrom": [[4.139, 0.000, 0.000], [0.000, 4.139, 0.000], [0.000, 0.000, 9.012]], "species": ["Ce", "Ce", "Cd", "Cd", "Ge", "Ge", "O", "O"], "fractional_positions": [[0.250, 0.250, 0.129], [0.750, 0.750, 0.871], [0.250, 0.750, 0.500], [0.750, 0.250, 0.500], [0.250, 0.250, 0.709], [0.750, 0.750, 0.291], [0.250, 0.750, 0.000], [0.750, 0.250, 0.000]]}

No. 5
{"formula": "CeCdGeO5", "functional": "GGA-PBE", "state": "optimized geometry", "dos_at_fermi_per_ev_atom": 0.000, "energy_ev_per_cell": -106.23, "lattice_angstrom": [[3.574, -4.627, 0.000], [3.574, 4.627, 0.000], [-3.054, 0.000, 7.389]], "species": ["Ce", "Ce", "Cd", "Cd", "Ge", "Ge", "O", "O", "O", "O", "O", "O", "O", "O", "O", "O"], "fractional_positions": [[0.000, 0.000, 0.000], [0.000, 0.000, 0.500], [0.338, 0.662, 0.750], [0.662, 0.338, 0.250], [0.327, 0.673, 0.250], [0.673, 0.327, 0.750], [0.088, 0.664, 0.353], [0.102, 0.898, 0.750], [0.290, 0.387, 0.090], [0.336, 0.912, 0.147], [0.387, 0.290, 0.590], [0.613, 0.710, 0.410], [0.664, 0.088, 0.853], [0.710, 0.613, 0.910], [0.898, 0.102, 0.250], [0.912, 0.336, 0.647]]}

No. 6
{"formula": "CeCd2GeO6", "functional": "GGA-PBE", "state": "optimized geometry", "energy_ev_per_cell": -59.01, "lattice_angstrom": [[5.562, 0.000, 0.000], [0.000, 5.562, 0.000], [0.000, 0.000, 4.780]], "species": ["Ce", "Cd", "Cd", "Ge", "O", "O", "O", "O", "O", "O"], "fractional_positions": [[0.000, 0.000, 0.000], [0.000, 0.500, 0.403], [0.500, 0.000, 0.403], [0.500, 0.500, 0.010], [0.000, 0.000, 0.558], [0.271, 0.271, 0.128], [0.271, 0.729, 0.128], [0.500, 0.500, 0.641], [0.729, 0.271, 0.128], [0.729, 0.729, 0.128]]}